[1]
This record from the Alexandria database describes RbNa2AsPt after structural relaxation. The functional is PBE-GGA.

```
RbNa2AsPt
1.0
-4.994 -1.058 2.363
2.574 -1.472 4.781
-0.239 4.531 1.524
Rb Na Pt As
1 2 1 1
direct
0.500 0.500 0.500
0.500 0.000 0.000
0.000 0.500 0.000
0.000 0.000 0.500
0.000 0.000 0.000
```

Properties
Energy above the lowest structure with this stoichiometry   0.048 eV/atom
Crystal system   tetragonal
DOS(E_F)   1.815 states/eV/f.u.
SG   P4/mmm (123)
Magnetization   0.013 μB/atom
Volume   30.30 Å³/atom

[2]
This record from the Alexandria database describes RbNa2AsPt after structural relaxation. The functional is PBE-GGA.

```
RbNa2AsPt
1.0
-4.339 3.461 -0.950
-3.581 -4.073 1.517
0.207 1.498 4.510
Rb Na As Pt
1 2 1 1
direct
0.500 0.500 0.500
0.000 0.500 0.000
0.500 0.000 0.000
0.000 0.000 0.500
0.000 0.000 0.000
```

Properties
Energy above the lowest structure with this stoichiometry   0.000 eV/atom
Crystal system   tetragonal
DOS(E_F)   2.003 states/eV/f.u.
SG   P4/mmm (123)
Magnetization   0.000 μB/atom
Volume   30.17 Å³/atom

Ordered energy of formation results: -226, -274; unit meV per atom.